Entry 1:
CaTa2Ir | GGA-PBE | relaxed

Geometry as extended XYZ:
```
4
Lattice="-4.3071 2.0229 1.0191 -2.2570 -3.6476 -2.2983 -0.1209 -1.5823 2.6299" Properties=species:S:1:pos:R:3 pbc="T T T"
Ta 0.0000 0.0000 0.0000
Ir -1.1889 -2.6150 0.1658
Ca -2.2140 0.2203 1.8245
Ta -3.2820 -0.8124 -0.6396
```

Summary:
symmetry = P4/mmm, No. 123
energy of formation = 0.50 eV/atom

Entry 2:
CaTa2Ir | GGA-PBE | relaxed

Geometry as extended XYZ:
```
4
Lattice="2.9102 0.0099 0.0000 -0.0140 2.9103 0.0000 0.0000 0.0000 9.4324" Properties=species:S:1:pos:R:3 pbc="T T T"
Ta 0.0000 0.0000 5.1831
Ta 0.0000 0.0000 8.9655
Ir 1.4481 1.4601 7.0743
Ca 1.4481 1.4601 2.3581
```

Summary:
symmetry = P4/mmm, No. 123
energy of formation = 0.18 eV/atom

Entry 3:
CaTa2Ir | GGA-PBE | relaxed

Geometry as extended XYZ:
```
4
Lattice="4.7019 0.0000 0.0000 0.0000 4.0207 0.0000 0.0000 0.0000 4.0207" Properties=species:S:1:pos:R:3 pbc="T T T"
Ta 0.0000 2.0103 2.0103
Ta 0.0000 0.0000 0.0000
Ca 2.3509 2.0103 0.0000
Ir 2.3509 0.0000 2.0103
```

Summary:
symmetry = P4/mmm, No. 123
energy of formation = 0.36 eV/atom

Entry 4:
CaTa2Ir2 | GGA-PBE | relaxed

Geometry as extended XYZ:
```
5
Lattice="-0.6623 -1.1783 4.2388 3.8408 -2.2454 -0.0241 4.1392 2.6325 3.7135" Properties=species:S:1:pos:R:3 pbc="T T T"
Ta 4.7846 -0.6624 2.8984
Ir 5.0924 -0.1630 5.4202
Ta 2.5331 -0.1288 5.0298
Ir 2.2253 -0.6282 2.5080
Ca 0.0000 0.0000 0.0000
```

Summary:
symmetry = I4/mmm, No. 139
energy of formation = -0.53 eV/atom

Entry 5:
CaTa3Ir | GGA-PBE | relaxed

Geometry as extended XYZ:
```
5
Lattice="-2.7628 3.7813 -1.6221 -1.6758 -2.8186 -3.7161 -3.7578 -1.5231 2.8498" Properties=species:S:1:pos:R:3 pbc="T T T"
Ir 0.0000 0.0000 0.0000
Ta -1.8789 -0.7616 1.4249
Ta -0.8379 -1.4093 -1.8581
Ta -1.3814 1.8906 -0.8111
Ca -4.0982 -0.2802 -1.2442
```

Summary:
symmetry = Pm-3m, No. 221
energy of formation = 0.83 eV/atom

Entry 6:
CaTa2Ir | GGA-PBE | relaxed

Geometry as extended XYZ:
```
4
Lattice="-2.0336 1.5399 -5.5233 -4.4360 1.8174 -3.7461 -0.0497 4.8579 -0.8258" Properties=species:S:1:pos:R:3 pbc="T T T"
Ta -6.2290 3.4137 -8.9530
Ta -3.5002 4.0512 -5.3640
Ir -1.6298 2.0538 -2.5238
Ca -4.8894 6.1614 -7.5713
```

Summary:
symmetry = Immm, No. 71
energy of formation = 0.01 eV/atom